(1)
DFT (PBE) results for an optimized crystal structure of AcMg11In.

Calculated total energy = -25.6 eV per cell
Crystal system = monoclinic
Space group = No. 12
DFT formation energy = -0.0967 eV/atom

Cell: 6.003 7.873 7.932 Å, 81.85 67.77 67.99°
Positions (direct):
Ac 0.000 0.000 0.000
Mg 0.283 0.216 0.216
Mg 0.717 0.784 0.784
Mg 0.501 0.784 0.216
Mg 0.499 0.216 0.784
Mg 0.349 0.646 0.645
Mg 0.651 0.354 0.355
Mg 0.005 0.354 0.645
Mg 0.995 0.646 0.355
Mg 0.000 0.500 0.000
Mg 0.500 0.000 0.500
Mg 0.000 0.000 0.500
In 0.500 0.500 0.000

=====

(2)
DFT (PBE) results for an optimized crystal structure of AcMg3In9.

Calculated total energy = -35.3 eV per cell
Crystal system = monoclinic
Space group = No. 12
DFT formation energy = -0.1332 eV/atom

Cell: 6.328 7.871 8.007 Å, 81.87 66.72 69.03°
Positions (direct):
Ac 0.000 0.000 0.000
Mg 0.500 0.500 0.000
Mg 0.000 0.000 0.500
Mg 0.500 0.000 0.500
In 0.709 0.788 0.783
In 0.291 0.212 0.217
In 0.507 0.212 0.783
In 0.493 0.788 0.217
In 0.645 0.349 0.354
In 0.355 0.651 0.646
In 0.001 0.651 0.354
In 0.999 0.349 0.646
In 0.000 0.500 0.000

=====

(3)
DFT (PBE) results for an optimized crystal structure of Ac4Mg3In.

Calculated total energy = -25.3 eV per cell
Crystal system = trigonal
Space group = No. 166
DFT formation energy = -0.1713 eV/atom

Cell: 5.801 5.801 10.064 Å, 73.25 73.25 60.00°
Positions (direct):
Ac 0.875 0.875 0.374
Ac 0.375 0.375 0.876
Ac 0.125 0.125 0.626
Ac 0.625 0.625 0.124
Mg 0.248 0.248 0.256
Mg 0.752 0.752 0.744
Mg 0.500 0.500 0.500
In 0.000 0.000 0.000

=====

(4)
DFT (PBE) results for an optimized crystal structure of Ac4MgIn3.

Calculated total energy = -28.7 eV per cell
Crystal system = orthorhombic
Space group = No. 25
DFT formation energy = -0.3033 eV/atom

Cell: 4.932 4.721 12.532 Å, 90.00 90.00 90.00°
Positions (direct):
Ac 0.500 0.500 0.362
Ac 0.000 0.500 0.855
Ac 0.000 0.000 0.147
Ac 0.500 0.000 0.643
Mg 0.500 0.500 0.066
In 0.000 0.500 0.576
In 0.000 0.000 0.427
In 0.500 0.000 0.925

=====

> Number 3 is which compound?

Ac4Mg3In